Density functional theory data (PBE) for an optimized crystal structure of KSr2Zr.

Calculated values
As for the energy of formation: 0.621 eV/atom. For the raw total energy, the calculation gives -10.5 eV for the cell shown. Its crystal system is monoclinic. As for the total moment: 2.6 μB/cell. For the offset from the most stable computed form, the calculation gives 0.203 eV per atom.

Lattice parameters (Å, degrees): 7.007 7.007 6.882 100.63 100.63 31.51
Positions (direct):
K  0.000  0.000  0.000
Sr  0.530  0.530  0.539
Sr  0.762  0.762  0.231
Zr  0.263  0.263  0.702